Record 1
HoBeTe2, relaxed, DFT PBE; density of states at the Fermi level = 3.4 states/eV/cell; crystal system = trigonal; E_tot = -14.81 eV per formula unit; energy relative to the elements, uncorrected = -0.0552 eV/atom
1.0
-0.793 2.931 2.235
-0.596 -0.545 3.683
8.294 1.954 3.561
Be Te Ho
1 2 1
direct
0.500 0.500 0.500 Be
0.112 0.112 0.665 Te
0.888 0.888 0.335 Te
0.000 0.000 0.000 Ho

Record 2
HoBeTe, relaxed, DFT PBE; density of states at the Fermi level = 0.5 states/eV/cell; crystal system = trigonal; E_tot = -13.08 eV per formula unit; energy relative to the elements, uncorrected = -0.5435 eV/atom
1.0
4.404 0.000 0.000
2.202 3.814 0.000
2.202 1.271 10.019
Te Be Ho
2 2 2
direct
0.271 0.271 0.188 Te
0.729 0.729 0.812 Te
0.173 0.173 0.481 Be
0.827 0.827 0.519 Be
0.445 0.445 0.664 Ho
0.555 0.555 0.336 Ho

Record 3
Ho2ThBe, relaxed, DFT PBE; polymorph energy (0 for the lowest one) = 601 meV/atom; density of states at the Fermi level = 4.2 states/eV/cell; energy of formation from the pure elements = 679 meV per atom; crystal system = trigonal; E_tot = -17.59 eV per formula unit
1.0
3.484 0.000 0.000
1.742 3.018 0.000
1.742 1.006 11.161
Be Ho Th
1 2 1
direct
0.000 0.000 0.000 Be
0.085 0.085 0.746 Ho
0.915 0.915 0.254 Ho
0.500 0.500 0.500 Th

Record 4
HoThBe, relaxed, DFT PBE; polymorph energy (0 for the lowest one) = 11 meV/atom; density of states at the Fermi level = 3.5 states/eV/cell; energy of formation from the pure elements = 152 meV per atom; crystal system = tetragonal; E_tot = -15.27 eV per formula unit
1.0
3.439 0.000 0.000
0.000 3.439 0.000
-1.720 -1.720 6.173
Be Ho Th
1 1 1
direct
0.663 0.663 0.326 Be
0.027 0.027 0.055 Ho
0.310 0.310 0.619 Th

Record 5
HoThBe, relaxed, DFT PBE; polymorph energy (0 for the lowest one) = 0 meV/atom; density of states at the Fermi level = 6.7 states/eV/cell; energy of formation from the pure elements = 141 meV per atom; crystal system = orthorhombic; E_tot = -15.30 eV per formula unit
1.0
-4.512 -3.786 0.127
3.444 1.449 4.554
-2.642 4.993 -1.156
Ho Th Be
2 2 2
direct
0.659 0.341 0.000 Ho
0.341 0.659 0.000 Ho
0.837 0.837 0.675 Th
0.163 0.163 0.325 Th
0.750 0.250 0.500 Be
0.250 0.750 0.500 Be

Record 6
Ho2ThBe, relaxed, DFT PBE; polymorph energy (0 for the lowest one) = 0 meV/atom; density of states at the Fermi level = 5.5 states/eV/cell; energy of formation from the pure elements = 78 meV per atom; crystal system = tetragonal; E_tot = -19.99 eV per formula unit
1.0
-3.208 -1.133 -0.611
0.710 -0.191 -3.377
2.639 -8.016 1.008
Be Ho Th
1 2 1
direct
0.500 0.500 0.000 Be
0.000 0.000 0.805 Ho
0.000 0.000 0.195 Ho
0.500 0.500 0.500 Th

Q: The highest density of states at the Fermi level belongs to which entry?
A: number 5